1.
DFT (PBE) results for an optimized crystal structure of Co6Au.

Calculated values
As for the energy of formation: 1106 meV/atom. The space group is Im-3m. The value obtained for the volume is 212.90 Å³ per cell. The total magnetization is 6.151 μB/cell.

a = 5.9712 Å, b = 5.9712 Å, c = 5.9712 Å
α = 90.00°, β = 90.00°, γ = 90.00°
Closest atoms and distances in Å follow each position.
Fractional positions:
1 Co 0.0000 0.2500 0.5000  4 Co 2.11
2 Co 0.0000 0.5000 0.2500  4 Co 2.11
3 Co 0.0000 0.5000 0.7500  4 Co 2.11
4 Co 0.0000 0.7500 0.5000  4 Co 2.11
5 Co 0.2500 0.0000 0.5000  4 Co 2.11
6 Co 0.2500 0.5000 0.0000  4 Co 2.11
7 Co 0.5000 0.0000 0.2500  4 Co 2.11
8 Co 0.5000 0.0000 0.7500  4 Co 2.11
9 Co 0.5000 0.2500 0.0000  4 Co 2.11
10 Co 0.5000 0.7500 0.0000  4 Co 2.11
11 Co 0.7500 0.0000 0.5000  4 Co 2.11
12 Co 0.7500 0.5000 0.0000  4 Co 2.11
13 Au 0.0000 0.0000 0.0000  24 Co 3.34
14 Au 0.5000 0.5000 0.5000  24 Co 3.34


2.
DFT (PBE) results for an optimized crystal structure of CoAu3.

Calculated values
As for the energy of formation: 142 meV/atom. The space group is P4/mmm. The value obtained for the volume is 65.60 Å³ per cell. The total magnetization is 1.698 μB/cell.

a = 2.8792 Å, b = 2.8792 Å, c = 7.9130 Å
α = 90.00°, β = 90.00°, γ = 90.00°
Closest atoms and distances in Å follow each position.
Fractional positions:
1 Co 0.0000 0.0000 0.0000  8 Au 2.70, 4 Co 2.88
2 Au 0.0000 0.0000 0.5000  12 Au 2.88-2.98
3 Au 0.5000 0.5000 0.2242  4 Co 2.70, 8 Au 2.88-2.98
4 Au 0.5000 0.5000 0.7758  4 Co 2.70, 8 Au 2.88-2.98


3.
DFT (PBE) results for an optimized crystal structure of CoAu.

Calculated values
As for the energy of formation: 288 meV/atom. The space group is R-3m. The value obtained for the volume is 187.13 Å³ per cell. The total magnetization is 11.217 μB/cell.

a = 4.0761 Å, b = 4.0761 Å, c = 13.0055 Å
α = 90.00°, β = 90.00°, γ = 120.00°
Closest atoms and distances in Å follow each position.
Fractional positions:
1 Co 0.0000 0.0000 0.1688  3 Co 2.35
2 Co 0.0000 0.0000 0.8312  3 Co 2.35
3 Co 0.3333 0.6667 0.4978  3 Co 2.35
4 Co 0.3333 0.6667 0.8355  3 Co 2.35
5 Co 0.6667 0.3333 0.1645  3 Co 2.35
6 Co 0.6667 0.3333 0.5022  3 Co 2.35
7 Au 0.0000 0.0000 0.3909  7 Co 2.73-2.89, 4 Au 2.79-2.84
8 Au 0.0000 0.0000 0.6091  7 Co 2.73-2.89, 4 Au 2.79-2.84
9 Au 0.3333 0.6667 0.0575  7 Co 2.73-2.89, 4 Au 2.79-2.84
10 Au 0.3333 0.6667 0.2758  7 Co 2.73-2.89, 4 Au 2.79-2.84
11 Au 0.6667 0.3333 0.7242  7 Co 2.73-2.89, 4 Au 2.79-2.84
12 Au 0.6667 0.3333 0.9425  7 Co 2.73-2.89, 4 Au 2.79-2.84


4.
DFT (PBE) results for an optimized crystal structure of Co4Au3.

Calculated values
As for the energy of formation: 150 meV/atom. The space group is I4/mmm. The value obtained for the volume is 197.85 Å³ per cell. The total magnetization is 13.481 μB/cell.

a = 2.7744 Å, b = 2.7744 Å, c = 25.7036 Å
α = 90.00°, β = 90.00°, γ = 90.00°
Closest atoms and distances in Å follow each position.
Fractional positions:
1 Co 0.0000 0.0000 0.0759  4 Co 2.39
2 Co 0.0000 0.0000 0.3709  4 Co 2.39
3 Co 0.0000 0.0000 0.6291  4 Co 2.39
4 Co 0.0000 0.0000 0.9241  4 Co 2.39
5 Co 0.5000 0.5000 0.1291  4 Co 2.39
6 Co 0.5000 0.5000 0.4241  4 Co 2.39
7 Co 0.5000 0.5000 0.5759  4 Co 2.39
8 Co 0.5000 0.5000 0.8709  4 Co 2.39
9 Au 0.0000 0.0000 0.2050  4 Co 2.77, 8 Au 2.77-3.03
10 Au 0.0000 0.0000 0.5000  8 Co 2.77, 4 Au 2.77
11 Au 0.0000 0.0000 0.7950  4 Co 2.77, 8 Au 2.77-3.03
12 Au 0.5000 0.5000 0.0000  8 Co 2.77, 4 Au 2.77
13 Au 0.5000 0.5000 0.2950  4 Co 2.77, 8 Au 2.77-3.03
14 Au 0.5000 0.5000 0.7050  4 Co 2.77, 8 Au 2.77-3.03


5.
DFT (PBE) results for an optimized crystal structure of Co2Au.

Calculated values
As for the energy of formation: 238 meV/atom. The space group is P-3m1. The value obtained for the volume is 41.09 Å³ per cell. The total magnetization is 3.375 μB/cell.

a = 2.7036 Å, b = 2.7036 Å, c = 6.4905 Å
α = 90.00°, β = 90.00°, γ = 120.00°
Closest atoms and distances in Å follow each position.
Fractional positions:
1 Co 0.3333 0.6667 0.3591  3 Co 2.40
2 Co 0.6667 0.3333 0.6409  3 Co 2.40
3 Au 0.0000 0.0000 0.0000  6 Au 2.70, 6 Co 2.80


6.
DFT (PBE) results for an optimized crystal structure of CoAu.

Calculated values
As for the energy of formation: 544 meV/atom. The space group is P6_3/mmc. The value obtained for the volume is 131.93 Å³ per cell. The total magnetization is 7.482 μB/cell.

a = 4.5470 Å, b = 4.5470 Å, c = 7.3680 Å
α = 90.00°, β = 90.00°, γ = 120.00°
Closest atoms and distances in Å follow each position.
Fractional positions:
1 Co 0.3333 0.6667 0.0995  1 Co 2.22
2 Co 0.3333 0.6667 0.4005  1 Co 2.22
3 Co 0.6667 0.3333 0.5995  1 Co 2.22
4 Co 0.6667 0.3333 0.9005  1 Co 2.22
5 Au 0.0000 0.0000 0.2500  3 Au 2.63, 6 Co 2.85
6 Au 0.0000 0.0000 0.7500  3 Au 2.63, 6 Co 2.85
7 Au 0.3333 0.6667 0.7500  8 Co 2.58-2.85, 3 Au 2.63
8 Au 0.6667 0.3333 0.2500  8 Co 2.58-2.85, 3 Au 2.63


7.
DFT (PBE) results for an optimized crystal structure of CoAu.

Calculated values
As for the energy of formation: 233 meV/atom. The space group is C2/m. The value obtained for the volume is 117.39 Å³ per cell. The total magnetization is 7.093 μB/cell.

a = 9.3900 Å, b = 2.8392 Å, c = 4.6083 Å
α = 90.00°, β = 107.15°, γ = 90.00°
Closest atoms and distances in Å follow each position.
Fractional positions:
1 Co 0.1483 0.0000 0.3779  2 Co 2.38
2 Co 0.3517 0.5000 0.6221  2 Co 2.38
3 Co 0.6483 0.5000 0.3779  2 Co 2.38
4 Co 0.8517 0.0000 0.6221  2 Co 2.38
5 Au 0.1109 0.5000 0.8448  7 Co 2.69-2.77, 5 Au 2.84-2.95
6 Au 0.3891 0.0000 0.1552  7 Co 2.69-2.77, 5 Au 2.84-2.95
7 Au 0.6109 0.0000 0.8448  7 Co 2.69-2.77, 5 Au 2.84-2.95
8 Au 0.8891 0.5000 0.1552  7 Co 2.69-2.77, 5 Au 2.84-2.95


8.
DFT (PBE) results for an optimized crystal structure of CoAu.

Calculated values
As for the energy of formation: 245 meV/atom. The space group is P2_1/m. The value obtained for the volume is 58.97 Å³ per cell. The total magnetization is 3.652 μB/cell.

a = 2.7927 Å, b = 4.1138 Å, c = 5.3142 Å
α = 90.00°, β = 104.99°, γ = 90.00°
Closest atoms and distances in Å follow each position.
Fractional positions:
1 Co 0.0573 0.2500 0.1146  2 Co 2.37
2 Co 0.9427 0.7500 0.8854  2 Co 2.37
3 Au 0.3306 0.2500 0.6573  7 Co 2.73-2.79, 6 Au 2.79-2.97
4 Au 0.6694 0.7500 0.3427  7 Co 2.73-2.79, 6 Au 2.79-2.97


9.
DFT (PBE) results for an optimized crystal structure of CoAu.

Calculated values
As for the energy of formation: 227 meV/atom. The space group is R-3m. The value obtained for the volume is 179.09 Å³ per cell. The total magnetization is 10.019 μB/cell.

a = 2.7507 Å, b = 2.7507 Å, c = 27.3317 Å
α = 90.00°, β = 90.00°, γ = 120.00°
Closest atoms and distances in Å follow each position.
Fractional positions:
1 Co 0.0000 0.0000 0.1336  3 Co 2.40
2 Co 0.0000 0.0000 0.8664  3 Co 2.40
3 Co 0.3333 0.6667 0.5330  3 Co 2.40
4 Co 0.3333 0.6667 0.8003  3 Co 2.40
5 Co 0.6667 0.3333 0.1997  3 Co 2.40
6 Co 0.6667 0.3333 0.4670  3 Co 2.40
7 Au 0.0000 0.0000 0.3828  6 Au 2.75, 3 Co 2.79
8 Au 0.0000 0.0000 0.6172  6 Au 2.75, 3 Co 2.79
9 Au 0.3333 0.6667 0.0495  6 Au 2.75, 3 Co 2.79
10 Au 0.3333 0.6667 0.2838  6 Au 2.75, 3 Co 2.79
11 Au 0.6667 0.3333 0.7162  6 Au 2.75, 3 Co 2.79
12 Au 0.6667 0.3333 0.9505  6 Au 2.75, 3 Co 2.79


10.
DFT (PBE) results for an optimized crystal structure of CoAu3.

Calculated values
As for the energy of formation: 252 meV/atom. The space group is Pm-3m. The value obtained for the volume is 66.29 Å³ per cell. The total magnetization is 1.694 μB/cell.

a = 4.0471 Å, b = 4.0471 Å, c = 4.0471 Å
α = 90.00°, β = 90.00°, γ = 90.00°
Closest atoms and distances in Å follow each position.
Fractional positions:
1 Co 0.0000 0.0000 0.0000  12 Au 2.86
2 Au 0.0000 0.5000 0.5000  4 Co 2.86, 8 Au 2.86
3 Au 0.5000 0.0000 0.5000  4 Co 2.86, 8 Au 2.86
4 Au 0.5000 0.5000 0.0000  4 Co 2.86, 8 Au 2.86


11.
DFT (PBE) results for an optimized crystal structure of CoAu.

Calculated values
As for the energy of formation: 213 meV/atom. The space group is Cm. The value obtained for the volume is 176.85 Å³ per cell. The total magnetization is 10.958 μB/cell.

a = 9.4175 Å, b = 2.8350 Å, c = 7.1265 Å
α = 90.00°, β = 111.65°, γ = 90.00°
Closest atoms and distances in Å follow each position.
Fractional positions:
1 Co 0.0000 0.0000 0.0000  2 Co 2.41, 4 Au 2.66-2.68
2 Co 0.0232 0.0000 0.4753  2 Co 2.42
3 Co 0.3930 0.0000 0.1869  4 Co 2.41-2.42, 1 Au 2.64
4 Co 0.5000 0.5000 0.0000  2 Co 2.41, 4 Au 2.66-2.68
5 Co 0.5232 0.5000 0.4753  2 Co 2.42
6 Co 0.8930 0.5000 0.1869  4 Co 2.41-2.42, 1 Au 2.64
7 Au 0.1896 0.5000 0.8558  7 Co 2.72-2.95, 5 Au 2.83-2.90
8 Au 0.1939 0.5000 0.3017  8 Co 2.64-2.88, 4 Au 2.83-2.85
9 Au 0.3665 0.0000 0.6612  4 Co 2.68-2.72, 7 Au 2.83-2.90
10 Au 0.6896 0.0000 0.8558  7 Co 2.72-2.95, 5 Au 2.83-2.90
11 Au 0.6939 0.0000 0.3017  8 Co 2.64-2.88, 4 Au 2.83-2.85
12 Au 0.8665 0.5000 0.6612  4 Co 2.68-2.72, 7 Au 2.83-2.90


12.
DFT (PBE) results for an optimized crystal structure of Co3Au2.

Calculated values
As for the energy of formation: 260 meV/atom. The space group is Fdd2. The value obtained for the volume is 141.16 Å³ per cell. The total magnetization is 10.930 μB/cell. As for the energy above the most stable polymorph in this dataset: 0.0 meV per atom.

a = 6.9309 Å, b = 5.0432 Å, c = 7.8170 Å
α = 60.77°, β = 39.42°, γ = 79.81°
Closest atoms and distances in Å follow each position.
Fractional positions:
1 Co 0.0000 0.0000 0.0000  4 Co 2.35-2.55
2 Co 0.2500 0.2500 0.2500  4 Co 2.35-2.55
3 Co 0.4710 0.8031 0.3101  4 Co 2.35-2.55, 1 Au 2.63
4 Co 0.8031 0.4710 0.4157  4 Co 2.35-2.55, 1 Au 2.63
5 Co 0.8343 0.9399 0.4469  4 Co 2.35-2.55, 1 Au 2.63
6 Co 0.9399 0.8343 0.7790  4 Co 2.35-2.55, 1 Au 2.63
7 Au 0.2475 0.5344 0.8560  9 Co 2.63-2.81
8 Au 0.3940 0.8879 0.0025  9 Co 2.63-2.81
9 Au 0.5344 0.2475 0.3621  9 Co 2.63-2.81
10 Au 0.8879 0.3940 0.7156  9 Co 2.63-2.81


Number 1: E -5.45 eV/atom. Number 2: E -4.09 eV/atom. Number 3: E -4.90 eV/atom. Number 4: E -5.31 eV/atom. Number 5: E -5.59 eV/atom. Number 6: E -4.65 eV/atom. Number 7: E -4.96 eV/atom. Number 8: E -4.95 eV/atom. Number 9: E -4.96 eV/atom. Number 10: E -3.98 eV/atom. Number 11: E -4.98 eV/atom. Number 12: E -5.31 eV/atom.